1.
Here is a relaxed structure of SrIn6Hg6 from Alexandria. Energies are from PBE.

Results
**DFT formation energy**: -79 meV per atom

The structure in CIF format:
```
data_SrIn6Hg6
_symmetry_space_group_name_H-M 'I m m m'
_symmetry_Int_Tables_number 71
_symmetry_space_group_name_Hall '-I 2 2'
_cell_length_a 6.2083
_cell_length_b 10.5702
_cell_length_c 11.0409
_cell_angle_alpha 90.00
_cell_angle_beta 90.00
_cell_angle_gamma 90.00
loop_
_atom_site_label
_atom_site_fract_x
_atom_site_fract_y
_atom_site_fract_z
Sr1 0.0000 0.0000 0.0000
In1 0.0000 0.2467 0.5000
In2 0.2500 0.2500 0.2500
Hg1 0.0000 0.0000 0.3244
Hg2 0.0000 0.3588 0.0000
Hg3 0.0000 0.5000 0.3390
```

***

2.
Here is a relaxed structure of SrInHg3 from Alexandria. Energies are from PBE.

Results
**Offset from the most stable computed form**: 1.192 eV/f.u.
**DFT formation energy**: -67 meV per atom

The structure in CIF format:
```
data_SrInHg3
_symmetry_space_group_name_H-M 'P m -3 m'
_symmetry_Int_Tables_number 221
_symmetry_space_group_name_Hall '-P 4 2 3'
_cell_length_a 5.5438
_cell_length_b 5.5438
_cell_length_c 5.5438
_cell_angle_alpha 90.00
_cell_angle_beta 90.00
_cell_angle_gamma 90.00
loop_
_atom_site_label
_atom_site_fract_x
_atom_site_fract_y
_atom_site_fract_z
Sr1 0.0000 0.0000 0.0000
In1 0.5000 0.5000 0.5000
Hg1 0.0000 0.5000 0.5000
```